A plane-wave DFT calculation with PBE-GGA was carried out for an optimized crystal structure of Pm3Pr4Zn4.

Results
- calculated total energy (eV/atom) = -3.59
- space group = Immm, No. 71
- size of the total moment (μB per atom) = 0.000

Unit cell a=9.400 b=9.400 c=9.400 alpha=150.65 beta=128.41 gamma=60.47
Element x y z (fractional)
1 Pm 0.000 0.000 0.000
2 Pm 0.388 0.888 0.500
3 Pm 0.612 0.112 0.500
4 Pr 0.037 0.336 0.701
5 Pr 0.364 0.664 0.701
6 Pr 0.636 0.336 0.299
7 Pr 0.963 0.664 0.299
8 Zn 0.226 0.226 0.000
9 Zn 0.344 0.500 0.844
10 Zn 0.656 0.500 0.156
11 Zn 0.774 0.774 0.000



A plane-wave DFT calculation with PBE-GGA was carried out for an optimized crystal structure of MgNiW3.

Results
- distance to the lowest polymorph of the same formula (meV/atom) = 1230
- space group = Pm-3m, No. 221
- size of the total moment (μB per atom) = 0.000

Unit cell a=4.504 b=4.504 c=4.504 alpha=90.00 beta=90.00 gamma=90.00
Element x y z (fractional)
1 Mg 0.000 0.000 0.000
2 Ni 0.500 0.500 0.500
3 W 0.000 0.000 0.500
4 W 0.000 0.500 0.000
5 W 0.500 0.000 0.000



A plane-wave DFT calculation with PBE-GGA was carried out for an optimized crystal structure of Sm5ZnTe4.

Results
- raw formation energy (meV per atom) = -1188.7
- distance to the lowest polymorph of the same formula (meV/atom) = 0
- space group = I4/m, No. 87
- size of the total moment (μB per atom) = 0.000

Unit cell a=7.639 b=7.639 c=7.639 alpha=99.61 beta=99.61 gamma=131.76
Element x y z (fractional)
1 Sm 0.000 0.000 0.000
2 Sm 0.215 0.597 0.812
3 Sm 0.403 0.215 0.617
4 Sm 0.597 0.785 0.383
5 Sm 0.785 0.403 0.188
6 Zn 0.500 0.500 0.000
7 Te 0.093 0.304 0.397
8 Te 0.304 0.907 0.211
9 Te 0.696 0.093 0.789
10 Te 0.907 0.696 0.603



no.,calculated volume (Å³ per atom)
1,28.77
2,18.27
3,30.35